a:
# CeZn2Au2 PBE-GGA relaxed
data_CeZn2Au2
_space_group_name_H-M_alt 'I 4/m m m'
_space_group_IT_number 139
_space_group_name_Hall '-I 4 2'
_cell_length_a 4.099
_cell_length_b 4.099
_cell_length_c 12.360
_cell_angle_alpha 90.00
_cell_angle_beta 90.00
_cell_angle_gamma 90.00
loop_
_atom_site_label
_atom_site_fract_x
_atom_site_fract_y
_atom_site_fract_z
Ce1 0.000 0.000 0.000
Zn1 0.000 0.500 0.250
Au1 0.000 0.000 0.388
# Total magnetization, μB per cell: 1.87
# Density, Mg/m³: 10.63

b:
# CeZn2Au2 PBE-GGA relaxed
data_CeZn2Au2
_space_group_name_H-M_alt 'P n m a'
_space_group_IT_number 62
_space_group_name_Hall '-P 2ac 2n'
_cell_length_a 9.080
_cell_length_b 4.740
_cell_length_c 9.392
_cell_angle_alpha 90.00
_cell_angle_beta 90.00
_cell_angle_gamma 90.00
loop_
_atom_site_label
_atom_site_fract_x
_atom_site_fract_y
_atom_site_fract_z
Ce1 0.245 0.250 0.156
Zn1 0.105 0.750 0.961
Zn2 0.130 0.750 0.345
Au1 0.083 0.250 0.829
Au2 0.100 0.250 0.480
# Total magnetization, μB per cell: 3.44
# Density, Mg/m³: 10.92

In order of decreasing stability: a, b.

a:
# CeZn2Au3 PBE-GGA relaxed
data_CeZn2Au3
_space_group_name_H-M_alt 'C m c m'
_space_group_IT_number 63
_space_group_name_Hall '-C 2c 2'
_cell_length_a 10.015
_cell_length_b 9.139
_cell_length_c 5.376
_cell_angle_alpha 90.00
_cell_angle_beta 90.00
_cell_angle_gamma 90.00
loop_
_atom_site_label
_atom_site_fract_x
_atom_site_fract_y
_atom_site_fract_z
Ce1 0.000 0.205 0.250
Zn1 0.230 0.500 0.000
Au1 0.000 0.452 0.750
Au2 0.175 0.218 0.750
# Total magnetization, μB per cell: 4.28
# Density, Mg/m³: 11.63

b:
# CeZn2Au3 PBE-GGA relaxed
data_CeZn2Au3
_space_group_name_H-M_alt 'P 63/m m c'
_space_group_IT_number 194
_space_group_name_Hall '-P 6c 2c'
_cell_length_a 4.5709
_cell_length_b 4.5709
_cell_length_c 13.1771
_cell_angle_alpha 90.00
_cell_angle_beta 90.00
_cell_angle_gamma 120.00
loop_
_atom_site_label
_atom_site_fract_x
_atom_site_fract_y
_atom_site_fract_z
Ce1 0.0000 0.0000 0.2500
Zn1 0.3333 0.6667 0.0866
Au1 0.0000 0.0000 0.0000
Au2 0.3333 0.6667 0.6245
# Total magnetization, μB per cell: 1.52
# Density, Mg/m³: 12.00

In order of decreasing stability: b, a.

a:
# CeZr2Au PBE-GGA relaxed
data_CeZr2Au
_space_group_name_H-M_alt 'F m -3 m'
_space_group_IT_number 225
_space_group_name_Hall '-F 4 2 3'
_cell_length_a 6.988
_cell_length_b 6.988
_cell_length_c 6.988
_cell_angle_alpha 90.00
_cell_angle_beta 90.00
_cell_angle_gamma 90.00
loop_
_atom_site_label
_atom_site_fract_x
_atom_site_fract_y
_atom_site_fract_z
Ce1 0.000 0.000 0.000
Zr1 0.250 0.250 0.250
Au1 0.000 0.000 0.500
# Total magnetization, μB per cell: 3.18
# Density, Mg/m³: 10.11

b:
# CeZr2Au PBE-GGA relaxed
data_CeZr2Au
_space_group_name_H-M_alt 'P 4/m m m'
_space_group_IT_number 123
_space_group_name_Hall '-P 4 2'
_cell_length_a 4.599
_cell_length_b 4.599
_cell_length_c 4.245
_cell_angle_alpha 90.00
_cell_angle_beta 90.00
_cell_angle_gamma 90.00
loop_
_atom_site_label
_atom_site_fract_x
_atom_site_fract_y
_atom_site_fract_z
Ce1 0.000 0.000 0.000
Zr1 0.000 0.500 0.500
Au1 0.500 0.500 0.000
# Total magnetization, μB per cell: 0.00
# Density, Mg/m³: 9.61

c:
# CeZr2Au PBE-GGA relaxed
data_CeZr2Au
_space_group_name_H-M_alt 'F -4 3 m'
_space_group_IT_number 216
_space_group_name_Hall 'F -4 2 3'
_cell_length_a 7.118
_cell_length_b 7.118
_cell_length_c 7.118
_cell_angle_alpha 90.00
_cell_angle_beta 90.00
_cell_angle_gamma 90.00
loop_
_atom_site_label
_atom_site_fract_x
_atom_site_fract_y
_atom_site_fract_z
Ce1 0.000 0.000 0.000
Zr1 0.000 0.000 0.500
Zr2 0.250 0.250 0.750
Au1 0.250 0.250 0.250
# Total magnetization, μB per cell: 0.00
# Density, Mg/m³: 9.57

In order of decreasing stability: b, c, a.